VASP calculation (PBE) on a relaxed BaPb4Se5 crystal.

Lattice parameters (Å, degrees): 4.452 6.313 11.821 105.49 100.86 90.00
Sites, in units of the cell vectors:
Se 0.198 0.698 0.396
Se 0.607 0.107 0.214
Se 0.000 0.500 0.000
Se 0.393 0.893 0.786
Se 0.802 0.302 0.604
Pb 0.202 0.202 0.405
Pb 0.602 0.602 0.204
Pb 0.798 0.798 0.595
Pb 0.398 0.398 0.796
Ba 0.000 0.000 0.000

Summary:
As for the uncorrected energy: -4.270 eV/atom. Its space group is Immm (71). The volume comes out at 31.4 Å³/atom. The formation energy without anion corrections is -0.8525 eV per atom.